Entry 1:
The following is a DFT calculation (SCAN) of a PBEsol-optimized structure of Tc5Pt4.

Computed properties:
Calculated volume ... 128.5 Å³/f.u.
Formation energy ... -0.275 eV per atom
Symmetry ... I4/mmm

a = 6.0869 Å, b = 6.0869 Å, c = 6.0869 Å
α = 95.76°, β = 95.76°, γ = 143.06°
Closest atoms and distances in Å follow each position.
Positions (direct):
Tc  0.0000  0.0000  0.0000  4 Pt 2.66, 8 Tc 2.67
Tc  0.3395  0.3395  0.6791  6 Tc 2.62-2.83, 6 Pt 2.70-2.77
Tc  0.3395  0.6605  0.0000  6 Tc 2.62-2.83, 6 Pt 2.70-2.77
Tc  0.6605  0.3395  0.0000  6 Tc 2.62-2.83, 6 Pt 2.70-2.77
Tc  0.6605  0.6605  0.3209  6 Tc 2.62-2.83, 6 Pt 2.70-2.77
Pt  0.0000  0.3261  0.3261  7 Tc 2.66-2.77, 5 Pt 2.78-2.84
Pt  0.0000  0.6739  0.6739  7 Tc 2.66-2.77, 5 Pt 2.78-2.84
Pt  0.3261  0.0000  0.3261  7 Tc 2.66-2.77, 5 Pt 2.78-2.84
Pt  0.6739  0.0000  0.6739  7 Tc 2.66-2.77, 5 Pt 2.78-2.84


Entry 2:
The following is a DFT calculation (SCAN) of a PBEsol-optimized structure of TcPt2.

Computed properties:
ΔE to the lowest computed polymorph ... 116 meV per atom
Calculated volume ... 43.7 Å³/f.u.
Formation energy ... -0.128 eV per atom
Symmetry ... C2/m

a = 10.0667 Å, b = 2.7379 Å, c = 6.5834 Å
α = 90.00°, β = 105.46°, γ = 90.00°
Closest atoms and distances in Å follow each position.
Positions (direct):
Tc  0.2014  0.0000  0.1346  4 Tc 2.63-2.74, 8 Pt 2.68-2.87
Tc  0.2986  0.5000  0.8654  4 Tc 2.63-2.74, 8 Pt 2.68-2.87
Tc  0.7014  0.5000  0.1346  4 Tc 2.63-2.74, 8 Pt 2.68-2.87
Tc  0.7986  0.0000  0.8654  4 Tc 2.63-2.74, 8 Pt 2.68-2.87
Pt  0.0256  0.5000  0.8130  7 Pt 2.65-2.83, 5 Tc 2.68-2.76
Pt  0.1430  0.0000  0.5377  3 Tc 2.68-2.87, 9 Pt 2.71-2.83
Pt  0.3570  0.5000  0.4623  3 Tc 2.68-2.87, 9 Pt 2.71-2.83
Pt  0.4744  0.0000  0.1870  7 Pt 2.65-2.83, 5 Tc 2.68-2.76
Pt  0.5256  0.0000  0.8130  7 Pt 2.65-2.83, 5 Tc 2.68-2.76
Pt  0.6430  0.5000  0.5377  3 Tc 2.68-2.87, 9 Pt 2.71-2.83
Pt  0.8570  0.0000  0.4623  3 Tc 2.68-2.87, 9 Pt 2.71-2.83
Pt  0.9744  0.5000  0.1870  7 Pt 2.65-2.83, 5 Tc 2.68-2.76


Entry 3:
The following is a DFT calculation (SCAN) of a PBEsol-optimized structure of TcPt2.

Computed properties:
ΔE to the lowest computed polymorph ... 101 meV per atom
Calculated volume ... 43.8 Å³/f.u.
Formation energy ... -0.143 eV per atom
Symmetry ... I4_1/amd

a = 11.9569 Å, b = 11.9569 Å, c = 11.9569 Å
α = 161.34°, β = 161.34°, γ = 26.52°
Closest atoms and distances in Å follow each position.
Positions (direct):
Tc  0.2863  0.5363  0.7500  2 Tc 2.57, 10 Pt 2.64-2.86
Tc  0.4637  0.7137  0.7500  2 Tc 2.57, 10 Pt 2.64-2.86
Tc  0.5363  0.2863  0.2500  2 Tc 2.57, 10 Pt 2.64-2.86
Tc  0.7137  0.4637  0.2500  2 Tc 2.57, 10 Pt 2.64-2.86
Pt  0.0406  0.7906  0.2500  6 Tc 2.64-2.74, 6 Pt 2.71-2.79
Pt  0.1234  0.3734  0.7500  8 Pt 2.73-2.79, 4 Tc 2.80-2.86
Pt  0.2094  0.9594  0.2500  6 Tc 2.64-2.74, 6 Pt 2.71-2.79
Pt  0.3734  0.1234  0.2500  8 Pt 2.73-2.79, 4 Tc 2.80-2.86
Pt  0.6266  0.8766  0.7500  8 Pt 2.73-2.79, 4 Tc 2.80-2.86
Pt  0.7906  0.0406  0.7500  6 Tc 2.64-2.74, 6 Pt 2.71-2.79
Pt  0.8766  0.6266  0.2500  8 Pt 2.73-2.79, 4 Tc 2.80-2.86
Pt  0.9594  0.2094  0.7500  6 Tc 2.64-2.74, 6 Pt 2.71-2.79


Entry 4:
The following is a DFT calculation (SCAN) of a PBEsol-optimized structure of Tc2Pt.

Computed properties:
ΔE to the lowest computed polymorph ... 24 meV per atom
Calculated volume ... 42.5 Å³/f.u.
Formation energy ... -0.228 eV per atom
Symmetry ... C2/m

a = 9.9845 Å, b = 2.7088 Å, c = 6.4768 Å
α = 90.00°, β = 104.03°, γ = 90.00°
Closest atoms and distances in Å follow each position.
Positions (direct):
Tc  0.1452  0.0000  0.0244  8 Tc 2.58-2.84, 4 Pt 2.72-2.76
Tc  0.1948  0.0000  0.6458  7 Tc 2.62-2.76, 5 Pt 2.69-2.78
Tc  0.3052  0.5000  0.3542  7 Tc 2.62-2.76, 5 Pt 2.69-2.78
Tc  0.3548  0.5000  0.9756  8 Tc 2.58-2.84, 4 Pt 2.72-2.76
Tc  0.6452  0.5000  0.0244  8 Tc 2.58-2.84, 4 Pt 2.72-2.76
Tc  0.6948  0.5000  0.6458  7 Tc 2.62-2.76, 5 Pt 2.69-2.78
Tc  0.8052  0.0000  0.3542  7 Tc 2.62-2.76, 5 Pt 2.69-2.78
Tc  0.8548  0.0000  0.9756  8 Tc 2.58-2.84, 4 Pt 2.72-2.76
Pt  0.0302  0.5000  0.3028  9 Tc 2.69-2.78, 3 Pt 2.71-2.76
Pt  0.4698  0.0000  0.6972  9 Tc 2.69-2.78, 3 Pt 2.71-2.76
Pt  0.5302  0.0000  0.3028  9 Tc 2.69-2.78, 3 Pt 2.71-2.76
Pt  0.9698  0.5000  0.6972  9 Tc 2.69-2.78, 3 Pt 2.71-2.76


Entry 5:
The following is a DFT calculation (SCAN) of a PBEsol-optimized structure of TcPt2.

Computed properties:
ΔE to the lowest computed polymorph ... 62 meV per atom
Calculated volume ... 43.6 Å³/f.u.
Formation energy ... -0.181 eV per atom
Symmetry ... Cmcm

a = 8.2129 Å, b = 4.7445 Å, c = 4.4749 Å
α = 90.00°, β = 90.00°, γ = 90.00°
Closest atoms and distances in Å follow each position.
Positions (direct):
Tc  0.0000  0.1654  0.2500  10 Pt 2.68-2.77, 2 Tc 2.73
Tc  0.0000  0.8346  0.7500  10 Pt 2.68-2.77, 2 Tc 2.73
Tc  0.5000  0.3346  0.7500  10 Pt 2.68-2.77, 2 Tc 2.73
Tc  0.5000  0.6654  0.2500  10 Pt 2.68-2.77, 2 Tc 2.73
Pt  0.1630  0.3246  0.7500  7 Pt 2.68-2.79, 5 Tc 2.68-2.77
Pt  0.1630  0.6754  0.2500  7 Pt 2.68-2.79, 5 Tc 2.68-2.77
Pt  0.3370  0.1754  0.2500  7 Pt 2.68-2.79, 5 Tc 2.68-2.77
Pt  0.3370  0.8246  0.7500  7 Pt 2.68-2.79, 5 Tc 2.68-2.77
Pt  0.6630  0.1754  0.2500  7 Pt 2.68-2.79, 5 Tc 2.68-2.77
Pt  0.6630  0.8246  0.7500  7 Pt 2.68-2.79, 5 Tc 2.68-2.77
Pt  0.8370  0.3246  0.7500  7 Pt 2.68-2.79, 5 Tc 2.68-2.77
Pt  0.8370  0.6754  0.2500  7 Pt 2.68-2.79, 5 Tc 2.68-2.77


Entry 6:
The following is a DFT calculation (SCAN) of a PBEsol-optimized structure of TcPt.

Computed properties:
ΔE to the lowest computed polymorph ... 299 meV per atom
Calculated volume ... 30.8 Å³/f.u.
Formation energy ... 0.072 eV per atom
Symmetry ... R-3m

a = 4.2514 Å, b = 4.2514 Å, c = 11.8243 Å
α = 90.00°, β = 90.00°, γ = 120.00°
Closest atoms and distances in Å follow each position.
Positions (direct):
Tc  0.0000  0.0000  0.1646  3 Tc 2.46, 1 Pt 2.63
Tc  0.0000  0.0000  0.8354  3 Tc 2.46, 1 Pt 2.63
Tc  0.3333  0.6667  0.5021  3 Tc 2.46, 1 Pt 2.63
Tc  0.3333  0.6667  0.8313  3 Tc 2.46, 1 Pt 2.63
Tc  0.6667  0.3333  0.1687  3 Tc 2.46, 1 Pt 2.63
Tc  0.6667  0.3333  0.4979  3 Tc 2.46, 1 Pt 2.63
Pt  0.0000  0.0000  0.3873  7 Tc 2.63-2.80, 4 Pt 2.67-2.77
Pt  0.0000  0.0000  0.6127  7 Tc 2.63-2.80, 4 Pt 2.67-2.77
Pt  0.3333  0.6667  0.0539  7 Tc 2.63-2.80, 4 Pt 2.67-2.77
Pt  0.3333  0.6667  0.2794  7 Tc 2.63-2.80, 4 Pt 2.67-2.77
Pt  0.6667  0.3333  0.7206  7 Tc 2.63-2.80, 4 Pt 2.67-2.77
Pt  0.6667  0.3333  0.9461  7 Tc 2.63-2.80, 4 Pt 2.67-2.77


Entry 7:
The following is a DFT calculation (SCAN) of a PBEsol-optimized structure of TcPt3.

Computed properties:
Calculated volume ... 58.3 Å³/f.u.
Formation energy ... -0.137 eV per atom
Symmetry ... I4/mmm

a = 3.8524 Å, b = 3.8524 Å, c = 7.8621 Å
α = 90.00°, β = 90.00°, γ = 90.00°
Closest atoms and distances in Å follow each position.
Positions (direct):
Tc  0.0000  0.0000  0.0000  12 Pt 2.72-2.75
Tc  0.5000  0.5000  0.5000  12 Pt 2.72-2.75
Pt  0.0000  0.0000  0.5000  4 Tc 2.72, 8 Pt 2.75
Pt  0.0000  0.5000  0.2500  8 Pt 2.72-2.75, 4 Tc 2.75
Pt  0.0000  0.5000  0.7500  8 Pt 2.72-2.75, 4 Tc 2.75
Pt  0.5000  0.0000  0.2500  8 Pt 2.72-2.75, 4 Tc 2.75
Pt  0.5000  0.0000  0.7500  8 Pt 2.72-2.75, 4 Tc 2.75
Pt  0.5000  0.5000  0.0000  4 Tc 2.72, 8 Pt 2.75


Entry 8:
The following is a DFT calculation (SCAN) of a PBEsol-optimized structure of Tc2Pt.

Computed properties:
ΔE to the lowest computed polymorph ... 85 meV per atom
Calculated volume ... 42.6 Å³/f.u.
Formation energy ... -0.167 eV per atom
Symmetry ... Immm

a = 2.6654 Å, b = 3.9071 Å, c = 8.1817 Å
α = 90.00°, β = 90.00°, γ = 90.00°
Closest atoms and distances in Å follow each position.
Positions (direct):
Tc  0.0000  0.0000  0.1723  7 Tc 2.67-2.82, 5 Pt 2.68-2.75
Tc  0.0000  0.0000  0.8277  7 Tc 2.67-2.82, 5 Pt 2.68-2.75
Tc  0.5000  0.5000  0.3277  7 Tc 2.67-2.82, 5 Pt 2.68-2.75
Tc  0.5000  0.5000  0.6723  7 Tc 2.67-2.82, 5 Pt 2.68-2.75
Pt  0.0000  0.0000  0.5000  2 Pt 2.67, 10 Tc 2.68-2.75
Pt  0.5000  0.5000  0.0000  2 Pt 2.67, 10 Tc 2.68-2.75


no.,E (eV per cell)
1,-458.55
2,-703.32
3,-703.49
4,-563.99
5,-703.96
6,-630.65
7,-492.38
8,-281.63